Record 1
First-principles (PBE) data for an optimized crystal structure of TbDyY2Tl2, as listed in Alexandria.

Calculated values
Its total energy is -57.25 eV per cell. As for the space group: Pmc2_1 (26).

Cell lengths 5.099, 9.992, 6.849 Å; angles 90.00, 90.00, 90.00 degrees
Atoms (fractional coordinates):
Tb  0.000  0.043  0.000
Tb  0.000  0.957  0.500
Dy  0.500  0.188  0.719
Dy  0.500  0.812  0.219
Y  0.000  0.312  0.376
Y  0.000  0.688  0.876
Y  0.500  0.456  0.093
Y  0.500  0.544  0.593
Tl  0.000  0.367  0.837
Tl  0.000  0.633  0.337
Tl  0.500  0.133  0.256
Tl  0.500  0.867  0.756

Record 2
First-principles (PBE) data for an optimized crystal structure of TbDyYTl, as listed in Alexandria.

Calculated values
The value obtained for the polymorph energy (0 for the lowest one) is 0 meV/atom. As for the space group: Pmmm (47).

Cell lengths 4.844, 4.849, 4.895 Å; angles 90.00, 90.00, 90.00 degrees
Atoms (fractional coordinates):
Tb  0.000  0.000  0.000
Dy  0.500  0.500  0.000
Y  0.500  0.000  0.500
Tl  0.000  0.500  0.500

Record 3
First-principles (PBE) data for an optimized crystal structure of TbDyYTl, as listed in Alexandria.

Calculated values
The value obtained for the polymorph energy (0 for the lowest one) is 148 meV/atom. As for the space group: F-43m (216).

Cell lengths 5.478, 5.478, 5.478 Å; angles 60.00, 60.00, 60.00 degrees
Atoms (fractional coordinates):
Tb  0.000  0.000  0.000
Dy  0.750  0.750  0.750
Y  0.500  0.500  0.500
Tl  0.250  0.250  0.250

Record 4
First-principles (PBE) data for an optimized crystal structure of Tb3Dy6Y2Tl, as listed in Alexandria.

Calculated values
Its total energy is -56.98 eV per cell. As for the space group: C2/m (12).

Cell lengths 6.101, 6.101, 11.675 Å; angles 95.04, 95.04, 120.05 degrees
Atoms (fractional coordinates):
Tb  0.000  0.000  0.000
Tb  0.333  0.667  0.000
Tb  0.667  0.333  0.000
Dy  0.089  0.418  0.252
Dy  0.253  0.253  0.750
Dy  0.418  0.089  0.252
Dy  0.582  0.911  0.748
Dy  0.747  0.747  0.250
Dy  0.911  0.582  0.748
Y  0.166  0.834  0.500
Y  0.834  0.166  0.500
Tl  0.500  0.500  0.500

Record 5
First-principles (PBE) data for an optimized crystal structure of TbDy3Tm6, as listed in Alexandria.

Calculated values
The value obtained for the polymorph energy (0 for the lowest one) is 25 meV/atom. As for the space group: Cmc2_1 (36).

Cell lengths 10.821, 10.821, 6.108 Å; angles 90.00, 90.00, 119.64 degrees
Atoms (fractional coordinates):
Tb  0.209  0.791  0.500
Tb  0.791  0.209  0.000
Dy  0.063  0.281  0.697
Dy  0.281  0.063  0.197
Dy  0.391  0.609  0.585
Dy  0.609  0.391  0.085
Dy  0.719  0.937  0.697
Dy  0.937  0.719  0.197
Tm  0.037  0.459  0.291
Tm  0.048  0.952  0.735
Tm  0.285  0.715  0.013
Tm  0.288  0.383  0.124
Tm  0.383  0.288  0.624
Tm  0.459  0.037  0.791
Tm  0.541  0.963  0.291
Tm  0.617  0.712  0.124
Tm  0.712  0.617  0.624
Tm  0.715  0.285  0.513
Tm  0.952  0.048  0.235
Tm  0.963  0.541  0.791

Record 6
First-principles (PBE) data for an optimized crystal structure of Tb3Dy2Tm7, as listed in Alexandria.

Calculated values
The value obtained for the polymorph energy (0 for the lowest one) is 0 meV/atom. As for the space group: P2/m (10).

Cell lengths 6.242, 3.475, 17.216 Å; angles 90.00, 96.24, 90.00 degrees
Atoms (fractional coordinates):
Tb  0.000  0.000  0.000
Tb  0.050  0.500  0.658
Tb  0.950  0.500  0.342
Dy  0.440  0.000  0.326
Dy  0.560  0.000  0.674
Tm  0.227  0.500  0.165
Tm  0.246  0.000  0.501
Tm  0.275  0.000  0.834
Tm  0.500  0.500  0.000
Tm  0.725  0.000  0.166
Tm  0.754  0.000  0.499
Tm  0.773  0.500  0.835

Record 7
First-principles (PBE) data for an optimized crystal structure of Tb6Dy4Tm, as listed in Alexandria.

Calculated values
The value obtained for the polymorph energy (0 for the lowest one) is 297 meV/atom. As for the space group: I-42m (121).

Cell lengths 8.499, 8.499, 8.499 Å; angles 127.99, 127.99, 76.65 degrees
Atoms (fractional coordinates):
Tb  0.000  0.500  0.500
Tb  0.044  0.584  0.000
Tb  0.416  0.416  0.460
Tb  0.500  0.000  0.500
Tb  0.584  0.044  0.000
Tb  0.956  0.956  0.540
Dy  0.254  0.254  0.666
Dy  0.413  0.746  0.000
Dy  0.587  0.587  0.334
Dy  0.746  0.413  0.000
Tm  0.000  0.000  0.000

Record 8
First-principles (PBE) data for an optimized crystal structure of TbDy12Tm6, as listed in Alexandria.

Calculated values
The value obtained for the polymorph energy (0 for the lowest one) is 0 meV/atom. As for the space group: R-3 (148).

Cell lengths 8.449, 8.449, 8.449 Å; angles 88.32, 88.32, 88.32 degrees
Atoms (fractional coordinates):
Tb  0.000  0.000  0.000
Dy  0.011  0.204  0.358
Dy  0.204  0.358  0.011
Dy  0.224  0.458  0.566
Dy  0.358  0.011  0.204
Dy  0.434  0.776  0.542
Dy  0.458  0.566  0.224
Dy  0.542  0.434  0.776
Dy  0.566  0.224  0.458
Dy  0.642  0.989  0.796
Dy  0.776  0.542  0.434
Dy  0.796  0.642  0.989
Dy  0.989  0.796  0.642
Tm  0.095  0.693  0.257
Tm  0.257  0.095  0.693
Tm  0.307  0.743  0.905
Tm  0.693  0.257  0.095
Tm  0.743  0.905  0.307
Tm  0.905  0.307  0.743

Record 9
First-principles (PBE) data for an optimized crystal structure of Tb5Dy2Tm12, as listed in Alexandria.

Calculated values
Its total energy is -83.63 eV per cell. As for the space group: P-1 (2).

Cell lengths 5.943, 9.574, 11.122 Å; angles 70.11, 82.39, 88.66 degrees
Atoms (fractional coordinates):
Tb  0.000  0.000  0.000
Tb  0.102  0.962  0.344
Tb  0.495  0.547  0.831
Tb  0.505  0.453  0.169
Tb  0.898  0.038  0.656
Dy  0.283  0.568  0.420
Dy  0.717  0.432  0.580
Tm  0.039  0.686  0.657
Tm  0.076  0.314  0.043
Tm  0.164  0.316  0.728
Tm  0.384  0.906  0.787
Tm  0.426  0.820  0.105
Tm  0.429  0.181  0.487
Tm  0.571  0.819  0.513
Tm  0.574  0.180  0.895
Tm  0.616  0.094  0.213
Tm  0.836  0.684  0.272
Tm  0.924  0.686  0.957
Tm  0.961  0.314  0.343

Record 10
First-principles (PBE) data for an optimized crystal structure of Tb12Dy5Tm2, as listed in Alexandria.

Calculated values
The value obtained for the polymorph energy (0 for the lowest one) is 2 meV/atom. As for the space group: C2/m (12).

Cell lengths 9.012, 9.012, 8.571 Å; angles 91.88, 91.88, 61.22 degrees
Atoms (fractional coordinates):
Tb  0.058  0.058  0.339
Tb  0.064  0.677  0.326
Tb  0.170  0.531  0.762
Tb  0.323  0.936  0.674
Tb  0.425  0.425  0.124
Tb  0.469  0.830  0.238
Tb  0.531  0.170  0.762
Tb  0.575  0.575  0.876
Tb  0.677  0.064  0.326
Tb  0.830  0.469  0.238
Tb  0.936  0.323  0.674
Tb  0.942  0.942  0.661
Dy  0.205  0.205  0.025
Dy  0.269  0.269  0.430
Dy  0.500  0.500  0.500
Dy  0.731  0.731  0.570
Dy  0.795  0.795  0.975
Tm  0.172  0.828  0.000
Tm  0.828  0.172  0.000

Record 11
First-principles (PBE) data for an optimized crystal structure of Tb2Dy4Tm, as listed in Alexandria.

Calculated values
The value obtained for the polymorph energy (0 for the lowest one) is 135 meV/atom. As for the space group: P2_1/m (11).

Cell lengths 6.062, 6.534, 11.456 Å; angles 90.00, 104.31, 90.00 degrees
Atoms (fractional coordinates):
Tb  0.104  0.250  0.494
Tb  0.215  0.250  0.076
Tb  0.785  0.750  0.924
Tb  0.896  0.750  0.506
Dy  0.153  0.007  0.788
Dy  0.153  0.493  0.788
Dy  0.348  0.750  0.054
Dy  0.469  0.750  0.639
Dy  0.531  0.250  0.361
Dy  0.652  0.250  0.946
Dy  0.847  0.507  0.212
Dy  0.847  0.993  0.212
Tm  0.350  0.750  0.339
Tm  0.650  0.250  0.661

Record 12
First-principles (PBE) data for an optimized crystal structure of Tb5DyTm6, as listed in Alexandria.

Calculated values
The value obtained for the polymorph energy (0 for the lowest one) is 0 meV/atom. As for the space group: C2/m (12).

Cell lengths 6.091, 6.091, 11.618 Å; angles 95.00, 95.00, 119.95 degrees
Atoms (fractional coordinates):
Tb  0.000  0.000  0.000
Tb  0.167  0.833  0.500
Tb  0.333  0.667  0.000
Tb  0.667  0.333  0.000
Tb  0.833  0.167  0.500
Dy  0.500  0.500  0.500
Tm  0.084  0.417  0.250
Tm  0.249  0.249  0.750
Tm  0.417  0.084  0.250
Tm  0.583  0.916  0.750
Tm  0.751  0.751  0.250
Tm  0.916  0.583  0.750

Record 13
First-principles (PBE) data for an optimized crystal structure of Tb15DyTm4, as listed in Alexandria.

Calculated values
Its total energy is -91.58 eV per cell. As for the space group: P4/mmm (123).

Cell lengths 5.006, 5.006, 25.001 Å; angles 90.00, 90.00, 90.00 degrees
Atoms (fractional coordinates):
Tb  0.000  0.000  0.000
Tb  0.000  0.000  0.200
Tb  0.000  0.000  0.400
Tb  0.000  0.000  0.600
Tb  0.000  0.000  0.800
Tb  0.000  0.500  0.100
Tb  0.000  0.500  0.300
Tb  0.000  0.500  0.500
Tb  0.000  0.500  0.700
Tb  0.000  0.500  0.900
Tb  0.500  0.000  0.100
Tb  0.500  0.000  0.300
Tb  0.500  0.000  0.500
Tb  0.500  0.000  0.700
Tb  0.500  0.000  0.900
Dy  0.500  0.500  0.000
Tm  0.500  0.500  0.200
Tm  0.500  0.500  0.400
Tm  0.500  0.500  0.600
Tm  0.500  0.500  0.800

Record 14
First-principles (PBE) data for an optimized crystal structure of Tb16Dy7Tm6, as listed in Alexandria.

Calculated values
Its total energy is -126.13 eV per cell. As for the space group: Fm-3m (225).

Cell lengths 11.063, 11.063, 11.063 Å; angles 60.00, 60.00, 60.00 degrees
Atoms (fractional coordinates):
Tb  0.049  0.650  0.650
Tb  0.124  0.124  0.124
Tb  0.124  0.124  0.629
Tb  0.124  0.629  0.124
Tb  0.350  0.350  0.350
Tb  0.350  0.350  0.951
Tb  0.350  0.951  0.350
Tb  0.371  0.876  0.876
Tb  0.629  0.124  0.124
Tb  0.650  0.049  0.650
Tb  0.650  0.650  0.049
Tb  0.650  0.650  0.650
Tb  0.876  0.371  0.876
Tb  0.876  0.876  0.371
Tb  0.876  0.876  0.876
Tb  0.951  0.350  0.350
Dy  0.000  0.000  0.000
Dy  0.000  0.000  0.500
Dy  0.000  0.500  0.000
Dy  0.000  0.500  0.500
Dy  0.500  0.000  0.000
Dy  0.500  0.000  0.500
Dy  0.500  0.500  0.000
Tm  0.271  0.271  0.729
Tm  0.271  0.729  0.271
Tm  0.271  0.729  0.729
Tm  0.729  0.271  0.271
Tm  0.729  0.271  0.729
Tm  0.729  0.729  0.271

Record 15
First-principles (PBE) data for an optimized crystal structure of TbDy3Tm7, as listed in Alexandria.

Calculated values
The value obtained for the polymorph energy (0 for the lowest one) is 34 meV/atom. As for the space group: P3m1 (156).

Cell lengths 6.949, 6.949, 8.492 Å; angles 90.00, 90.00, 120.00 degrees
Atoms (fractional coordinates):
Tb  0.000  0.000  0.000
Dy  0.167  0.334  0.337
Dy  0.167  0.833  0.337
Dy  0.666  0.833  0.337
Tm  0.002  0.501  0.000
Tm  0.332  0.166  0.671
Tm  0.333  0.667  0.672
Tm  0.499  0.501  0.000
Tm  0.499  0.998  0.000
Tm  0.834  0.166  0.671
Tm  0.834  0.668  0.671

Record 16
First-principles (PBE) data for an optimized crystal structure of Tb2DyTm, as listed in Alexandria.

Calculated values
The value obtained for the polymorph energy (0 for the lowest one) is 132 meV/atom. As for the space group: Fm-3m (225).

Cell lengths 5.634, 5.634, 5.634 Å; angles 60.00, 60.00, 60.00 degrees
Atoms (fractional coordinates):
Tb  0.250  0.250  0.250
Tb  0.750  0.750  0.750
Dy  0.000  0.000  0.000
Tm  0.500  0.500  0.500

Record 17
First-principles (PBE) data for an optimized crystal structure of Tb5Dy2Tm2, as listed in Alexandria.

Calculated values
The value obtained for the polymorph energy (0 for the lowest one) is 168 meV/atom. As for the space group: Ima2 (46).

Cell lengths 10.246, 10.246, 10.246 Å; angles 86.58, 103.61, 145.53 degrees
Atoms (fractional coordinates):
Tb  0.068  0.999  0.568
Tb  0.200  0.048  0.247
Tb  0.200  0.452  0.652
Tb  0.431  0.499  0.432
Tb  0.479  0.023  0.169
Tb  0.479  0.810  0.955
Tb  0.800  0.548  0.348
Tb  0.800  0.952  0.753
Tb  0.854  0.310  0.831
Tb  0.854  0.523  0.045
Dy  0.593  0.093  0.500
Dy  0.593  0.593  0.000
Dy  0.663  0.465  0.698
Dy  0.767  0.965  0.302
Tm  0.109  0.292  0.088
Tm  0.109  0.521  0.316
Tm  0.205  0.021  0.912
Tm  0.205  0.792  0.684

Record 18
First-principles (PBE) data for an optimized crystal structure of TbDy6Tm2, as listed in Alexandria.

Calculated values
The value obtained for the polymorph energy (0 for the lowest one) is 0 meV/atom. As for the space group: P-1 (2).

Cell lengths 3.527, 8.624, 9.322 Å; angles 90.02, 100.85, 90.05 degrees
Atoms (fractional coordinates):
Tb  0.000  0.000  0.000
Dy  0.110  0.666  0.221
Dy  0.222  0.334  0.444
Dy  0.333  0.000  0.667
Dy  0.667  0.000  0.333
Dy  0.778  0.666  0.556
Dy  0.890  0.334  0.779
Tm  0.444  0.666  0.889
Tm  0.556  0.334  0.111

Record 19
First-principles (PBE) data for an optimized crystal structure of Tb3Dy4Tm8, as listed in Alexandria.

Calculated values
The value obtained for the polymorph energy (0 for the lowest one) is 262 meV/atom. As for the space group: C2/m (12).

Cell lengths 9.175, 9.175, 6.634 Å; angles 111.18, 111.18, 88.07 degrees
Atoms (fractional coordinates):
Tb  0.000  0.000  0.000
Tb  0.000  0.500  0.000
Tb  0.500  0.000  0.000
Dy  0.000  0.500  0.500
Dy  0.500  0.000  0.500
Dy  0.500  0.500  0.000
Dy  0.500  0.500  0.500
Tm  0.138  0.862  0.500
Tm  0.234  0.234  0.493
Tm  0.234  0.234  0.973
Tm  0.248  0.752  0.000
Tm  0.752  0.248  0.000
Tm  0.766  0.766  0.027
Tm  0.766  0.766  0.507
Tm  0.862  0.138  0.500